An optimized crystal structure of NdScB4, computed with PBE.

a b c (Å): 3.2188 3.2188 7.7450
angles (deg): 90.00 90.00 120.00
Space group P6/mmm (No. 191)
Unique sites:
1 Nd 0.0000 0.0000 0.0000 [1 per cell]
2 Sc 0.0000 0.0000 0.5000 [1 per cell]
3 B 0.3333 0.6667 0.2774 [4 per cell]

Calculated values
As for the energy above the most stable polymorph in this dataset: 0 meV per atom.

An optimized crystal structure of AcTmU, computed with PBE.

a b c (Å): 7.6603 7.6603 7.6603
angles (deg): 90.00 90.00 90.00
Space group F-43m (No. 216)
Unique sites:
1 Ac 0.0000 0.0000 0.0000 [4 per cell]
2 Tm 0.0000 0.0000 0.5000 [4 per cell]
3 U 0.2500 0.2500 0.2500 [4 per cell]

Calculated values
As for the formation energy: 1.279 eV/atom. As for the energy above the most stable polymorph in this dataset: 0 meV per atom.

An optimized crystal structure of LuAlNO, computed with PBE.

a b c (Å): 3.3177 6.2208 5.1244
angles (deg): 90.00 90.00 90.00
Space group Pmc2_1 (No. 26)
Unique sites:
1 Lu 0.0000 0.1606 0.0000 [2 per cell]
2 Al 0.5000 0.3526 0.5356 [2 per cell]
3 N 0.5000 0.3738 0.8991 [2 per cell]
4 O 0.0000 0.2204 0.4472 [2 per cell]

Calculated values
As for the energy above the most stable polymorph in this dataset: 103 meV per atom.